[1]
# NaNbP2O, relaxed, DFT PBEsol
# Space-group type   No. 123
# Size of the total moment   0.45 Bohr magnetons per cell
# Uncorrected energy   -0.4671 Ry/atom
data_NaNbP2O
_chemical_formula_sum 'Na1 Nb1 P2 O1'
_cell_length_a 4.9325
_cell_length_b 4.9325
_cell_length_c 3.9374
_cell_angle_alpha 90.00
_cell_angle_beta 90.00
_cell_angle_gamma 90.00
_space_group_name_H-M_alt 'P 1'
_space_group_IT_number 1
_space_group_name_Hall 'P 1'
loop_
_atom_site_label
_atom_site_type_symbol
_atom_site_fract_x
_atom_site_fract_y
_atom_site_fract_z
_atom_site_occupancy
Na1 Na 0.0000 0.0000 0.0000 1
Nb1 Nb 0.5000 0.5000 0.5000 1
P1 P 0.0000 0.5000 0.5000 1
P2 P 0.5000 0.0000 0.5000 1
O1 O 0.5000 0.5000 0.0000 1


[2]
# Na6Nb8P5O35, relaxed, DFT PBEsol
# Space-group type   No. 155
# Size of the total moment   0.72 Bohr magnetons per cell
# Uncorrected energy   -0.5968 Ry/atom
data_Na6Nb8P5O35
_chemical_formula_sum 'Na6 Nb8 P5 O35'
_cell_length_a 11.3480
_cell_length_b 11.3480
_cell_length_c 11.3480
_cell_angle_alpha 46.62
_cell_angle_beta 46.62
_cell_angle_gamma 46.62
_space_group_name_H-M_alt 'P 1'
_space_group_IT_number 1
_space_group_name_Hall 'P 1'
loop_
_atom_site_label
_atom_site_type_symbol
_atom_site_fract_x
_atom_site_fract_y
_atom_site_fract_z
_atom_site_occupancy
Na1 Na 0.0000 0.2148 0.7852 1
Na2 Na 0.0756 0.5000 0.9244 1
Na3 Na 0.2148 0.7852 0.0000 1
Na4 Na 0.5000 0.9244 0.0756 1
Na5 Na 0.7852 0.0000 0.2148 1
Na6 Na 0.9244 0.0756 0.5000 1
Nb1 Nb 0.2025 0.6813 0.4259 1
Nb2 Nb 0.2642 0.2642 0.2642 1
Nb3 Nb 0.3187 0.7975 0.5741 1
Nb4 Nb 0.4259 0.2025 0.6813 1
Nb5 Nb 0.5741 0.3187 0.7975 1
Nb6 Nb 0.6813 0.4259 0.2025 1
Nb7 Nb 0.7358 0.7358 0.7358 1
Nb8 Nb 0.7975 0.5741 0.3187 1
P1 P 0.0000 0.5625 0.4375 1
P2 P 0.0952 0.0952 0.0952 1
P3 P 0.4375 0.0000 0.5625 1
P4 P 0.5625 0.4375 0.0000 1
P5 P 0.9048 0.9048 0.9048 1
O1 O 0.0454 0.0454 0.0454 1
O2 O 0.0606 0.4288 0.2093 1
O3 O 0.0680 0.8043 0.7816 1
O4 O 0.1108 0.3710 0.4506 1
O5 O 0.1166 0.6608 0.3278 1
O6 O 0.1957 0.9320 0.2184 1
O7 O 0.2093 0.0606 0.4288 1
O8 O 0.2184 0.1957 0.9320 1
O9 O 0.2471 0.4463 0.5989 1
O10 O 0.2643 0.7357 0.5000 1
O11 O 0.3278 0.1166 0.6608 1
O12 O 0.3392 0.8834 0.6722 1
O13 O 0.3710 0.4506 0.1108 1
O14 O 0.4011 0.5537 0.7529 1
O15 O 0.4288 0.2093 0.0606 1
O16 O 0.4463 0.5989 0.2471 1
O17 O 0.4506 0.1108 0.3710 1
O18 O 0.5000 0.2643 0.7357 1
O19 O 0.5494 0.6290 0.8892 1
O20 O 0.5537 0.7529 0.4011 1
O21 O 0.5712 0.9394 0.7907 1
O22 O 0.5989 0.2471 0.4463 1
O23 O 0.6290 0.8892 0.5494 1
O24 O 0.6608 0.3278 0.1166 1
O25 O 0.6722 0.3392 0.8834 1
O26 O 0.7357 0.5000 0.2643 1
O27 O 0.7529 0.4011 0.5537 1
O28 O 0.7816 0.0680 0.8043 1
O29 O 0.7907 0.5712 0.9394 1
O30 O 0.8043 0.7816 0.0680 1
O31 O 0.8834 0.6722 0.3392 1
O32 O 0.8892 0.5494 0.6290 1
O33 O 0.9320 0.2184 0.1957 1
O34 O 0.9394 0.7907 0.5712 1
O35 O 0.9546 0.9546 0.9546 1


[3]
# Na3PrTi2Nb2O12, relaxed, DFT PBEsol
# Space-group type   No. 1
# Size of the total moment   0.00 Bohr magnetons per cell
# Uncorrected energy   -0.6071 Ry/atom
data_Na3PrTi2Nb2O12
_chemical_formula_sum 'Na3 Pr1 Ti2 Nb2 O12'
_cell_length_a 5.4690
_cell_length_b 5.5219
_cell_length_c 7.7756
_cell_angle_alpha 90.02
_cell_angle_beta 90.05
_cell_angle_gamma 90.10
_space_group_name_H-M_alt 'P 1'
_space_group_IT_number 1
_space_group_name_Hall 'P 1'
loop_
_atom_site_label
_atom_site_type_symbol
_atom_site_fract_x
_atom_site_fract_y
_atom_site_fract_z
_atom_site_occupancy
Na1 Na 0.0000 0.0000 0.0000 1
Na2 Na 0.0046 0.9592 0.4981 1
Na3 Na 0.5119 0.4650 0.5011 1
Pr1 Pr 0.5159 0.5061 0.0005 1
Ti1 Ti 0.0118 0.4813 0.7552 1
Ti2 Ti 0.4999 0.9816 0.2484 1
Nb1 Nb 0.0104 0.4748 0.2616 1
Nb2 Nb 0.5022 0.9801 0.7374 1
O1 O 0.0809 0.4371 0.9973 1
O2 O 0.2207 0.1746 0.7139 1
O3 O 0.2275 0.1701 0.2826 1
O4 O 0.3050 0.6613 0.7320 1
O5 O 0.3100 0.6660 0.2692 1
O6 O 0.4460 0.9516 0.0020 1
O7 O 0.5776 0.9577 0.4954 1
O8 O 0.7206 0.2444 0.2142 1
O9 O 0.7238 0.2491 0.7859 1
O10 O 0.7898 0.7357 0.2027 1
O11 O 0.7921 0.7323 0.7965 1
O12 O 0.9510 0.4840 0.5044 1


[4]
# Na2Nb4Se4O19, relaxed, DFT PBEsol
# Space-group type   No. 2
# Size of the total moment   0.00 Bohr magnetons per cell
# Uncorrected energy   -0.5394 Ry/atom
data_Na2Nb4Se4O19
_chemical_formula_sum 'Na2 Nb4 Se4 O19'
_cell_length_a 3.9385
_cell_length_b 10.2714
_cell_length_c 11.0139
_cell_angle_alpha 73.91
_cell_angle_beta 89.93
_cell_angle_gamma 82.29
_space_group_name_H-M_alt 'P 1'
_space_group_IT_number 1
_space_group_name_Hall 'P 1'
loop_
_atom_site_label
_atom_site_type_symbol
_atom_site_fract_x
_atom_site_fract_y
_atom_site_fract_z
_atom_site_occupancy
Na1 Na 0.2246 0.4370 0.1401 1
Na2 Na 0.7754 0.5630 0.8599 1
Nb1 Nb 0.3457 0.3140 0.7043 1
Nb2 Nb 0.4372 0.0548 0.3179 1
Nb3 Nb 0.5628 0.9452 0.6821 1
Nb4 Nb 0.6543 0.6860 0.2957 1
Se1 Se 0.2787 0.7811 0.9856 1
Se2 Se 0.3387 0.6756 0.5848 1
Se3 Se 0.6613 0.3244 0.4152 1
Se4 Se 0.7213 0.2189 0.0144 1
O1 O 0.0371 0.9237 0.6936 1
O2 O 0.1240 0.6742 0.2930 1
O3 O 0.2440 0.6312 0.9584 1
O4 O 0.3099 0.5249 0.6987 1
O5 O 0.3572 0.3784 0.5122 1
O6 O 0.3910 0.2627 0.3291 1
O7 O 0.3987 0.2733 0.8912 1
O8 O 0.4336 0.1496 0.1258 1
O9 O 0.4602 0.1277 0.6993 1
O10 O 0.5000 0.0000 0.5000 1
O11 O 0.5398 0.8723 0.3007 1
O12 O 0.5664 0.8504 0.8742 1
O13 O 0.6013 0.7267 0.1088 1
O14 O 0.6090 0.7373 0.6709 1
O15 O 0.6428 0.6216 0.4878 1
O16 O 0.6901 0.4751 0.3013 1
O17 O 0.7560 0.3688 0.0416 1
O18 O 0.8760 0.3258 0.7070 1
O19 O 0.9629 0.0763 0.3064 1


[5]
# Na3SrTiNb3O12, relaxed, DFT PBEsol
# Space-group type   No. 2
# ΔE to the lowest computed polymorph   4 meV per atom
# Size of the total moment   0.00 Bohr magnetons per cell
# Uncorrected energy   -0.5946 Ry/atom
data_Na3SrTiNb3O12
_chemical_formula_sum 'Na6 Sr2 Ti2 Nb6 O24'
_cell_length_a 7.7964
_cell_length_b 7.8238
_cell_length_c 7.8625
_cell_angle_alpha 90.13
_cell_angle_beta 90.13
_cell_angle_gamma 90.17
_space_group_name_H-M_alt 'P 1'
_space_group_IT_number 1
_space_group_name_Hall 'P 1'
loop_
_atom_site_label
_atom_site_type_symbol
_atom_site_fract_x
_atom_site_fract_y
_atom_site_fract_z
_atom_site_occupancy
Na1 Na 0.2462 0.2649 0.2494 1
Na2 Na 0.2510 0.2495 0.7508 1
Na3 Na 0.2507 0.7524 0.7500 1
Na4 Na 0.7493 0.2476 0.2500 1
Na5 Na 0.7490 0.7505 0.2492 1
Na6 Na 0.7538 0.7351 0.7506 1
Sr1 Sr 0.2504 0.7647 0.2509 1
Sr2 Sr 0.7496 0.2353 0.7491 1
Ti1 Ti 0.0000 0.5000 0.0000 1
Ti2 Ti 0.5000 0.0000 0.5000 1
Nb1 Nb 0.0000 0.0000 0.0000 1
Nb2 Nb 0.0000 0.0000 0.5000 1
Nb3 Nb 0.0000 0.5000 0.5000 1
Nb4 Nb 0.5000 0.0000 0.0000 1
Nb5 Nb 0.5000 0.5000 0.0000 1
Nb6 Nb 0.5000 0.5000 0.5000 1
O1 O 0.0312 0.5186 0.2488 1
O2 O 0.0342 0.0332 0.7499 1
O3 O 0.0411 0.7494 0.9809 1
O4 O 0.0458 0.7500 0.5217 1
O5 O 0.2489 0.4605 0.9770 1
O6 O 0.2500 0.0349 0.0443 1
O7 O 0.2498 0.4559 0.5256 1
O8 O 0.2508 0.0315 0.4593 1
O9 O 0.4545 0.7502 0.9805 1
O10 O 0.4583 0.7512 0.5175 1
O11 O 0.4661 0.5185 0.2500 1
O12 O 0.4688 0.0293 0.7494 1
O13 O 0.5312 0.9707 0.2506 1
O14 O 0.5339 0.4815 0.7500 1
O15 O 0.5417 0.2488 0.4825 1
O16 O 0.5455 0.2498 0.0195 1
O17 O 0.7492 0.9685 0.5407 1
O18 O 0.7502 0.5441 0.4744 1
O19 O 0.7500 0.9651 0.9557 1
O20 O 0.7511 0.5395 0.0230 1
O21 O 0.9542 0.2500 0.4783 1
O22 O 0.9589 0.2506 0.0191 1
O23 O 0.9658 0.9668 0.2501 1
O24 O 0.9688 0.4814 0.7512 1


[6]
# Na3SrTiNb3O12, relaxed, DFT PBEsol
# Space-group type   No. 13
# ΔE to the lowest computed polymorph   0 meV per atom
# Size of the total moment   0.00 Bohr magnetons per cell
# Uncorrected energy   -0.5948 Ry/atom
data_Na3SrTiNb3O12
_chemical_formula_sum 'Na6 Sr2 Ti2 Nb6 O24'
_cell_length_a 7.7803
_cell_length_b 7.8441
_cell_length_c 11.0372
_cell_angle_alpha 90.00
_cell_angle_beta 134.66
_cell_angle_gamma 90.00
_space_group_name_H-M_alt 'P 1'
_space_group_IT_number 1
_space_group_name_Hall 'P 1'
loop_
_atom_site_label
_atom_site_type_symbol
_atom_site_fract_x
_atom_site_fract_y
_atom_site_fract_z
_atom_site_occupancy
Na1 Na 0.0000 0.2333 0.2500 1
Na2 Na 0.0000 0.2362 0.7500 1
Na3 Na 0.0000 0.7638 0.2500 1
Na4 Na 0.0000 0.7667 0.7500 1
Na5 Na 0.5000 0.2546 0.7500 1
Na6 Na 0.5000 0.7454 0.2500 1
Sr1 Sr 0.5000 0.2279 0.2500 1
Sr2 Sr 0.5000 0.7721 0.7500 1
Ti1 Ti 0.5000 0.0000 0.0000 1
Ti2 Ti 0.5000 0.0000 0.5000 1
Nb1 Nb 0.0000 0.0000 0.0000 1
Nb2 Nb 0.0000 0.0000 0.5000 1
Nb3 Nb 0.0000 0.5000 0.0000 1
Nb4 Nb 0.0000 0.5000 0.5000 1
Nb5 Nb 0.5000 0.5000 0.0000 1
Nb6 Nb 0.5000 0.5000 0.5000 1
O1 O 0.0286 0.2511 0.9841 1
O2 O 0.0286 0.7489 0.4841 1
O3 O 0.2069 0.4582 0.4577 1
O4 O 0.2069 0.5418 0.9577 1
O5 O 0.2287 0.0236 0.2519 1
O6 O 0.2287 0.9764 0.7519 1
O7 O 0.2832 0.0331 0.5310 1
O8 O 0.2832 0.9670 0.0310 1
O9 O 0.2993 0.4893 0.2492 1
O10 O 0.2993 0.5107 0.7492 1
O11 O 0.4456 0.2493 0.9861 1
O12 O 0.4456 0.7507 0.4861 1
O13 O 0.5544 0.2493 0.5139 1
O14 O 0.5544 0.7507 0.0139 1
O15 O 0.7007 0.4893 0.2508 1
O16 O 0.7007 0.5107 0.7508 1
O17 O 0.7168 0.0331 0.9690 1
O18 O 0.7168 0.9670 0.4690 1
O19 O 0.7713 0.0236 0.2481 1
O20 O 0.7713 0.9764 0.7481 1
O21 O 0.7931 0.4582 0.0423 1
O22 O 0.7931 0.5418 0.5423 1
O23 O 0.9714 0.2511 0.5159 1
O24 O 0.9714 0.7489 0.0159 1


Short version: raw formation energy = -52.5; -233.8; -263.1; -171.8; -250.7; -251.1 kJ/mol of atoms, in the order given.